# CrSnO2

A geometry-optimized CrSnO2 structure (GGA+U, Alexandria via LeMat-Bulk).

Properties
* energy: -6.642 eV per atom
* energy relative to the lowest polymorph listed for this composition: 0.91 eV/f.u.
* symmetry: P1, No. 1
* mass density: 5.26 g cm⁻³

Cell: 3.633 4.230 11.070 Å, 111.83 98.37 54.52°
Site moments in Bohr magnetons follow the coordinates.
Fractional coordinates of all 8 atoms:
Cr 0.362 0.997 0.385  3.76
Cr 0.304 0.714 0.579  3.76
Sn 0.596 0.146 0.145  0.01
Sn 0.386 0.407 0.819  0.01
O 0.307 0.838 0.193  -0.02
O 0.127 0.991 0.772  -0.02
O 0.446 0.444 0.373  0.02
O 0.380 0.187 0.589  0.02